(1)
VASP calculation (PBE) on crystalline PrEuTlHg at its relaxed geometry.

Calculated values
DOS(E_F)	39.5	states/eV/cell
electronic total energy	-4.886	eV per atom
energy of formation from the pure elements	-0.456	eV/atom

Cell lengths 7.8399, 7.8399, 7.8399 Å; angles 90.00, 90.00, 90.00 degrees
Space group F-43m (No. 216)
Symmetry-distinct sites (fractional):
Pr  0.0000  0.0000  0.0000 (multiplicity 4)
Eu  0.0000  0.0000  0.5000 (multiplicity 4)
Tl  0.2500  0.2500  0.2500 (multiplicity 4)
Hg  0.2500  0.2500  0.7500 (multiplicity 4)

(2)
VASP calculation (PBE) on crystalline PrEuTmHg at its relaxed geometry.

Calculated values
DOS(E_F)	20.5	states/eV/cell
electronic total energy	-4.999	eV per atom
energy of formation from the pure elements	-0.042	eV/atom

Cell lengths 7.8064, 7.8064, 7.8064 Å; angles 90.00, 90.00, 90.00 degrees
Space group F-43m (No. 216)
Symmetry-distinct sites (fractional):
Pr  0.0000  0.0000  0.0000 (multiplicity 4)
Eu  0.2500  0.2500  0.2500 (multiplicity 4)
Tm  0.0000  0.0000  0.5000 (multiplicity 4)
Hg  0.2500  0.2500  0.7500 (multiplicity 4)